1.
# PBE MgSiTe, optimized geometry
# Uncorrected energy (eV/atom): -3.26
# Distance to the lowest polymorph of the same formula (kJ per mole of atoms): 37.9
# Uncorrected formation energy (kJ/mol of atoms): 12.1
# Crystal system: monoclinic
data_MgSiTe
_symmetry_space_group_name_H-M 'C 1 m 1'
_symmetry_Int_Tables_number 8
_symmetry_space_group_name_Hall 'C -2y'
_cell_length_a 5.236
_cell_length_b 5.236
_cell_length_c 6.258
_cell_angle_alpha 90.00
_cell_angle_beta 114.56
_cell_angle_gamma 90.00
loop_
_atom_site_label
_atom_site_type_symbol
_atom_site_fract_x
_atom_site_fract_y
_atom_site_fract_z
Mg1 Mg 0.000 0.000 0.000
Si1 Si 0.090 0.500 0.181
Te1 Te 0.360 0.000 0.716

=====

2.
# PBE MgSi2Te, optimized geometry
# Uncorrected energy (eV/atom): -3.77
# Distance to the lowest polymorph of the same formula (kJ per mole of atoms): 3.7
# Uncorrected formation energy (kJ/mol of atoms): 12.5
# Crystal system: monoclinic
data_MgSi2Te
_symmetry_space_group_name_H-M 'P 1 m 1'
_symmetry_Int_Tables_number 6
_symmetry_space_group_name_Hall 'P -2y'
_cell_length_a 4.488
_cell_length_b 3.957
_cell_length_c 5.605
_cell_angle_alpha 90.00
_cell_angle_beta 90.76
_cell_angle_gamma 90.00
loop_
_atom_site_label
_atom_site_type_symbol
_atom_site_fract_x
_atom_site_fract_y
_atom_site_fract_z
Mg1 Mg 0.000 0.000 0.000
Si1 Si 0.056 0.000 0.516
Si2 Si 0.303 0.500 0.409
Te1 Te 0.516 0.500 0.984

=====

3.
# PBE MgSiTe, optimized geometry
# Uncorrected energy (eV/atom): -3.38
# Distance to the lowest polymorph of the same formula (kJ per mole of atoms): 26.1
# Uncorrected formation energy (kJ/mol of atoms): 0.3
# Crystal system: triclinic
data_MgSiTe
_symmetry_space_group_name_H-M 'P 1'
_symmetry_Int_Tables_number 1
_symmetry_space_group_name_Hall 'P 1'
_cell_length_a 3.072
_cell_length_b 4.265
_cell_length_c 6.018
_cell_angle_alpha 90.82
_cell_angle_beta 104.73
_cell_angle_gamma 90.10
loop_
_atom_site_label
_atom_site_type_symbol
_atom_site_fract_x
_atom_site_fract_y
_atom_site_fract_z
Mg1 Mg 0.000 0.000 0.000
Si1 Si 0.416 0.498 0.833
Te1 Te 0.192 0.501 0.383

=====

4.
# PBE Mg2SiTe, optimized geometry
# Uncorrected energy (eV/atom): -3.06
# Distance to the lowest polymorph of the same formula (kJ per mole of atoms): 1.2
# Uncorrected formation energy (kJ/mol of atoms): -12.0
# Crystal system: monoclinic
data_Mg2SiTe
_symmetry_space_group_name_H-M 'C 1 2/m 1'
_symmetry_Int_Tables_number 12
_symmetry_space_group_name_Hall '-C 2y'
_cell_length_a 7.991
_cell_length_b 3.885
_cell_length_c 6.240
_cell_angle_alpha 90.00
_cell_angle_beta 106.80
_cell_angle_gamma 90.00
loop_
_atom_site_label
_atom_site_type_symbol
_atom_site_fract_x
_atom_site_fract_y
_atom_site_fract_z
Mg1 Mg 0.239 0.000 0.209
Si1 Si 0.000 0.500 0.000
Te1 Te 0.000 0.000 0.500

=====

5.
# PBE MgTlSiTe4, optimized geometry
# Uncorrected energy (eV/atom): -3.41
# Uncorrected formation energy (kJ/mol of atoms): -26.4
# Crystal system: monoclinic
data_MgTlSiTe4
_symmetry_space_group_name_H-M 'P 1 21/m 1'
_symmetry_Int_Tables_number 11
_symmetry_space_group_name_Hall '-P 2yb'
_cell_length_a 7.114
_cell_length_b 7.135
_cell_length_c 10.364
_cell_angle_alpha 90.00
_cell_angle_beta 105.55
_cell_angle_gamma 90.00
loop_
_atom_site_label
_atom_site_type_symbol
_atom_site_fract_x
_atom_site_fract_y
_atom_site_fract_z
Mg1 Mg 0.210 0.250 0.318
Tl1 Tl 0.329 0.250 0.970
Si1 Si 0.276 0.750 0.702
Te1 Te 0.003 0.250 0.514
Te2 Te 0.132 0.750 0.899
Te3 Te 0.484 0.517 0.279

=====

6.
# PBE MgTl2SiTe4, optimized geometry
# Uncorrected energy (eV/atom): -3.28
# Uncorrected formation energy (kJ/mol of atoms): -23.1
# Crystal system: orthorhombic
data_MgTl2SiTe4
_symmetry_space_group_name_H-M 'I m m a'
_symmetry_Int_Tables_number 74
_symmetry_space_group_name_Hall '-I 2b 2'
_cell_length_a 8.683
_cell_length_b 8.893
_cell_length_c 12.299
_cell_angle_alpha 90.00
_cell_angle_beta 90.00
_cell_angle_gamma 90.00
loop_
_atom_site_label
_atom_site_type_symbol
_atom_site_fract_x
_atom_site_fract_y
_atom_site_fract_z
Mg1 Mg 0.000 0.000 0.000
Tl1 Tl 0.000 0.000 0.500
Tl2 Tl 0.250 0.250 0.250
Si1 Si 0.250 0.250 0.750
Te1 Te 0.000 0.035 0.760
Te2 Te 0.229 0.250 0.982